Material: KHg2Cl6
Method: DFT, GGA-PBE
State: relaxed

Cell and atoms, written as POSCAR:
```
KHg2Cl6
1.0
7.339 -2.695 0.000
7.339 2.695 0.000
-6.428 0.000 7.691
K Hg Cl
1 2 6
Cartesian
0.000 0.000 0.000
-1.213 0.000 4.495
9.464 0.000 3.196
-4.248 0.000 5.384
1.696 0.000 3.242
-0.644 0.000 6.811
8.895 0.000 0.880
6.554 0.000 4.449
12.498 0.000 2.307
```

Calculated values
- Final energy: -19.7 eV for the cell shown
- Crystal system: monoclinic
- Formation energy (no corrections): -0.77 eV per atom

=====

Material: K8Hg2Cl
Method: DFT, GGA-PBE
State: relaxed

Cell and atoms, written as POSCAR:
```
K8Hg2Cl
1.0
11.073 -2.441 0.000
11.073 2.441 0.000
-0.777 0.000 10.573
K Hg Cl
8 2 1
Cartesian
-0.221 0.000 3.233
4.116 0.000 8.795
7.235 0.000 5.423
8.191 0.000 10.246
13.177 0.000 0.327
14.133 0.000 5.150
17.253 0.000 1.778
21.590 0.000 7.340
3.664 0.000 2.446
17.704 0.000 8.127
10.684 0.000 5.286
```

Calculated values
- Final energy: -15.7 eV for the cell shown
- Crystal system: monoclinic
- Formation energy (no corrections): -0.41 eV per atom